Entry 1:
## LiRe2Mo (GGA-PBE)

Data for a geometry-optimized LiRe2Mo structure. Values from VASP.

Values from the calculation:
SG   Immm (71)
Calculated formation energy   0.242 eV per atom
Distance to the lowest polymorph of the same formula   61 meV/atom

Geometry as Quantum ESPRESSO input:
```
&SYSTEM
  ibrav = 0, nat = 4, ntyp = 3
/
ATOMIC_SPECIES
Mo 95.94 Mo.upf
Re 186.21 Re.upf
Li 6.94 Li.upf
CELL_PARAMETERS angstrom
5.128 0.000 0.003
2.342 4.561 -0.003
-3.255 -3.067 2.509
ATOMIC_POSITIONS angstrom
Mo 1.411 1.888 1.253
Re 0.078 0.048 0.000
Re 3.657 2.233 0.000
Li 2.804 -0.393 1.256
```


Entry 2:
## VOsPtSe2 (GGA-PBE)

Data for a geometry-optimized VOsPtSe2 structure. Values from VASP.

Values from the calculation:
ΔE_f (raw)   1071 meV per atom
SG   P4/mmm (123)

Geometry as Quantum ESPRESSO input:
```
&SYSTEM
  ibrav = 0, nat = 5, ntyp = 4
/
ATOMIC_SPECIES
Os 190.23 Os.upf
V 50.94 V.upf
Pt 195.08 Pt.upf
Se 78.96 Se.upf
CELL_PARAMETERS angstrom
4.588 0.000 0.000
0.000 4.648 0.000
0.000 0.000 4.588
ATOMIC_POSITIONS angstrom
Os 0.000 2.324 0.000
V 0.000 0.000 0.000
Pt 2.294 2.324 2.294
Se 0.000 0.000 2.294
Se 2.294 0.000 0.000
```


Entry 3:
## Ag2BPd2 (GGA-PBE)

Data for a geometry-optimized Ag2BPd2 structure. Values from VASP.

Values from the calculation:
SG   I4/mmm (139)
Calculated formation energy   0.997 eV per atom
Distance to the lowest polymorph of the same formula   1006 meV/atom

Geometry as Quantum ESPRESSO input:
```
&SYSTEM
  ibrav = 0, nat = 5, ntyp = 3
/
ATOMIC_SPECIES
Pd 106.42 Pd.upf
Ag 107.87 Ag.upf
B 10.81 B.upf
CELL_PARAMETERS angstrom
3.539 0.000 0.000
0.000 3.539 0.000
1.769 1.769 7.010
ATOMIC_POSITIONS angstrom
Pd 3.539 3.539 5.751
Pd 1.769 1.769 1.259
Ag 3.539 1.769 3.505
B 0.000 0.000 0.000
Ag 1.769 3.539 3.505
```


Entry 4:
## Mg2MnSb (GGA-PBE)

Data for a geometry-optimized Mg2MnSb structure. Values from VASP.

Values from the calculation:
ΔE_f (raw)   176 meV per atom
SG   F-43m (216)

Geometry as Quantum ESPRESSO input:
```
&SYSTEM
  ibrav = 0, nat = 4, ntyp = 3
/
ATOMIC_SPECIES
Mg 24.30 Mg.upf
Mn 54.94 Mn.upf
Sb 121.76 Sb.upf
CELL_PARAMETERS angstrom
-1.923 4.330 -1.245
-2.539 2.590 3.293
1.878 4.134 1.840
ATOMIC_POSITIONS angstrom
Mg -1.938 8.290 2.916
Mn -1.292 5.527 1.944
Mg 0.000 0.000 0.000
Sb -0.646 2.763 0.972
```